Record 1
Entry from Alexandria: a relaxed structure of Bi2PbN2 (PBE-GGA).

The structure in extended XYZ format:
```
5
Lattice="3.450 0.000 0.000 0.034 5.342 0.000 0.170 1.024 10.152" Properties=species:S:1:pos:R:3 pbc="T T T"
Bi 0.086 0.518 3.568
Bi 3.568 5.848 6.583
Pb 1.827 3.183 5.076
N 1.906 4.220 9.965
N 1.747 2.146 0.187
```

Summary:
Space-group type ... P-1, No. 2
Uncorrected formation energy ... 0.12 eV per atom

Record 2
Entry from Alexandria: a relaxed structure of ThCdCu2 (PBE-GGA).

The structure in extended XYZ format:
```
4
Lattice="3.327 0.000 0.000 0.000 3.327 0.000 0.000 0.000 7.065" Properties=species:S:1:pos:R:3 pbc="T T T"
Th 0.000 0.000 0.000
Cd 0.000 0.000 3.532
Cu 1.664 1.664 2.021
Cu 1.664 1.664 5.043
```

Summary:
Calculated formation energy ... -0.001 eV/atom
Space-group type ... P4/mmm, No. 123

Record 3
Entry from Alexandria: a relaxed structure of Cs2Cd3In2 (PBE-GGA).

The structure in extended XYZ format:
```
7
Lattice="7.122 -2.518 0.000 7.122 2.518 0.000 -0.397 0.000 7.527" Properties=species:S:1:pos:R:3 pbc="T T T"
Cs 1.873 0.000 0.649
Cs 11.973 0.000 6.878
Cd -0.198 0.000 3.764
Cd 2.863 0.000 4.375
Cd 10.983 0.000 3.153
In 5.633 0.000 2.676
In 8.214 0.000 4.851
```

Summary:
Calculated formation energy ... -0.060 eV/atom
Space-group type ... C2/m, No. 12

Record 4
Entry from Alexandria: a relaxed structure of KMgNi2Te (PBE-GGA).

The structure in extended XYZ format:
```
5
Lattice="4.843 0.000 0.000 0.000 4.843 0.000 0.000 0.000 5.594" Properties=species:S:1:pos:R:3 pbc="T T T"
K 0.000 0.000 0.000
Mg 2.421 2.421 0.000
Ni 0.000 2.421 2.797
Ni 2.421 0.000 2.797
Te 2.421 2.421 2.797
```

Summary:
Space-group type ... P4/mmm, No. 123
Uncorrected formation energy ... 0.42 eV per atom

Record 5
Entry from Alexandria: a relaxed structure of NaSi2O (PBE-GGA).

The structure in extended XYZ format:
```
8
Lattice="-2.300 2.300 6.666 2.300 -2.300 6.666 2.300 2.300 -6.666" Properties=species:S:1:pos:R:3 pbc="T T T"
Na 0.000 0.000 0.000
Na 0.000 2.300 3.333
Si 1.150 -0.319 4.999
Si 1.981 1.150 1.666
Si 1.150 2.619 -1.666
Si 0.319 1.150 8.332
O 2.300 0.000 3.333
O 0.000 0.000 6.666
```

Summary:
Space-group type ... I-42d, No. 122
Uncorrected formation energy ... -0.19 eV per atom

Record 6
Entry from Alexandria: a relaxed structure of MgGa3Ag3 (PBE-GGA).

The structure in extended XYZ format:
```
14
Lattice="7.219 0.000 0.000 0.000 7.219 0.000 0.000 0.000 7.219" Properties=species:S:1:pos:R:3 pbc="T T T"
Mg 0.000 0.000 0.000
Mg 3.609 3.609 3.609
Ga 0.000 1.805 3.609
Ga 0.000 5.414 3.609
Ga 1.805 3.609 0.000
Ga 3.609 0.000 1.805
Ga 3.609 0.000 5.414
Ga 5.414 3.609 0.000
Ag 0.000 3.609 1.805
Ag 0.000 3.609 5.414
Ag 1.805 0.000 3.609
Ag 3.609 1.805 0.000
Ag 3.609 5.414 0.000
Ag 5.414 0.000 3.609
```

Summary:
Relative energy among the computed polymorphs ... 460 meV per atom
Calculated formation energy ... 0.417 eV/atom
Space-group type ... Pm-3n, No. 223

Record 7
Entry from Alexandria: a relaxed structure of AlPb2I (PBE-GGA).

The structure in extended XYZ format:
```
4
Lattice="0.000 3.928 3.928 3.928 0.000 3.928 3.928 3.928 0.000" Properties=species:S:1:pos:R:3 pbc="T T T"
Al 0.000 0.000 0.000
Pb 1.964 1.964 1.964
Pb 5.892 5.892 5.892
I 3.928 3.928 3.928
```

Summary:
Relative energy among the computed polymorphs ... 0 meV per atom
Space-group type ... Fm-3m, No. 225
Uncorrected formation energy ... 0.26 eV per atom

Record 8
Entry from Alexandria: a relaxed structure of Pu2In8Ir (PBE-GGA).

The structure in extended XYZ format:
```
11
Lattice="4.680 0.000 0.000 0.000 4.680 0.000 0.000 0.000 12.156" Properties=species:S:1:pos:R:3 pbc="T T T"
Pu 0.000 0.000 2.338
Pu 0.000 0.000 9.818
In 0.000 2.340 0.000
In 0.000 2.340 4.570
In 0.000 2.340 7.586
In 2.340 0.000 0.000
In 2.340 0.000 4.570
In 2.340 0.000 7.586
In 2.340 2.340 2.320
In 2.340 2.340 9.836
Ir 0.000 0.000 6.078
```

Summary:
Calculated formation energy ... -0.253 eV/atom
Space-group type ... P4/mmm, No. 123

Record 9
Entry from Alexandria: a relaxed structure of RbBeCl2 (PBE-GGA).

The structure in extended XYZ format:
```
8
Lattice="-3.274 3.274 5.941 3.274 -3.274 5.941 3.274 3.274 -5.941" Properties=species:S:1:pos:R:3 pbc="T T T"
Rb 0.000 0.000 0.000
Rb 0.000 3.274 2.971
Be 3.274 0.000 2.971
Be 0.000 0.000 5.941
Cl 1.637 -0.696 4.456
Cl 2.578 1.637 1.485
Cl 1.637 3.970 -1.485
Cl 0.696 1.637 7.427
```

Summary:
Relative energy among the computed polymorphs ... 58 meV per atom
Space-group type ... I-42d, No. 122
Uncorrected formation energy ... -0.78 eV per atom

Record 10
Entry from Alexandria: a relaxed structure of SrTlOs (PBE-GGA).

The structure in extended XYZ format:
```
3
Lattice="-1.829 1.829 5.563 1.829 -1.829 5.563 1.829 1.829 -5.563" Properties=species:S:1:pos:R:3 pbc="T T T"
Sr 0.000 0.000 0.000
Tl 0.000 0.000 7.930
Os 0.000 0.000 3.460
```

Summary:
Calculated formation energy ... 0.621 eV/atom
Space-group type ... I4mm, No. 107

Record 11
Entry from Alexandria: a relaxed structure of LiNpIn2Br6 (PBE-GGA).

The structure in extended XYZ format:
```
20
Lattice="7.563 0.000 0.000 0.000 8.014 0.000 -7.446 0.000 10.884" Properties=species:S:1:pos:R:3 pbc="T T T"
Li 0.000 0.000 0.000
Li -3.723 4.007 5.442
Np 0.058 0.000 5.442
Np 3.781 4.007 0.000
In -3.880 0.650 8.125
In -0.157 3.357 2.683
In 0.273 4.657 8.201
In 3.997 7.364 2.759
Br -2.283 1.613 4.911
Br -6.006 2.394 10.353
Br -1.431 5.585 4.937
Br -5.154 6.436 10.379
Br 0.778 0.181 2.647
Br -2.946 3.826 8.088
Br 3.062 4.188 2.795
Br -0.661 7.833 8.237
Br 5.271 1.578 0.505
Br 1.548 2.429 5.947
Br 6.123 5.621 0.531
Br 2.400 6.401 5.973
```

Summary:
Space-group type ... P2_1/c, No. 14
Uncorrected formation energy ... -1.09 eV per atom

Record 12
Entry from Alexandria: a relaxed structure of ReNiN (PBE-GGA).

The structure in extended XYZ format:
```
3
Lattice="-1.345 1.345 4.546 1.345 -1.345 4.546 1.345 1.345 -4.546" Properties=species:S:1:pos:R:3 pbc="T T T"
Re 0.000 0.000 0.000
Ni 0.000 0.000 2.713
N 0.000 0.000 5.496
```

Summary:
Relative energy among the computed polymorphs ... 32 meV per atom
Space-group type ... I4mm, No. 107
Uncorrected formation energy ... 0.45 eV per atom

Record 13
Entry from Alexandria: a relaxed structure of Pr6SmEr5 (PBE-GGA).

The structure in extended XYZ format:
```
12
Lattice="-2.581 5.052 7.712 2.581 -5.052 7.712 2.581 5.052 -7.712" Properties=species:S:1:pos:R:3 pbc="T T T"
Pr 2.581 2.516 -2.571
Pr 0.000 2.509 0.000
Pr 2.581 2.516 2.571
Pr 0.000 2.536 5.141
Pr 0.000 7.596 0.000
Pr 0.000 2.536 10.283
Sm 0.000 0.000 7.712
Er 2.581 0.000 0.000
Er 0.000 0.000 2.574
Er 2.581 0.000 5.130
Er 0.000 5.052 2.582
Er 0.000 0.000 12.849
```

Summary:
Calculated formation energy ... 0.018 eV/atom
Space-group type ... Immm, No. 71

Record 14
Entry from Alexandria: a relaxed structure of Tb2TmPaAs5 (PBE-GGA).

The structure in extended XYZ format:
```
9
Lattice="5.062 0.000 0.000 0.000 5.062 0.000 0.000 0.000 10.802" Properties=species:S:1:pos:R:3 pbc="T T T"
Tb 0.000 0.000 2.511
Tb 0.000 0.000 8.291
Tm 2.531 2.531 5.401
Pa 2.531 2.531 0.000
As 0.000 0.000 5.401
As 0.000 2.531 0.000
As 2.531 0.000 0.000
As 2.531 2.531 2.759
As 2.531 2.531 8.043
```

Summary:
Calculated formation energy ... -0.475 eV/atom
Space-group type ... P4/mmm, No. 123

Record 15
Entry from Alexandria: a relaxed structure of Na2SmGaBr6 (PBE-GGA).

The structure in extended XYZ format:
```
10
Lattice="3.772 2.178 6.859 -3.772 2.178 6.859 0.000 -4.356 6.859" Properties=species:S:1:pos:R:3 pbc="T T T"
Na 0.000 0.000 0.000
Na 0.000 0.000 10.092
Sm 0.000 0.000 14.095
Ga 0.000 0.000 4.030
Br -1.324 -2.313 8.717
Br -2.234 -0.098 12.250
Br -1.341 2.303 8.717
Br 1.202 -1.885 12.250
Br 2.665 0.010 8.717
Br 1.032 1.984 12.250
```

Summary:
Space-group type ... R3, No. 146
Uncorrected formation energy ... -1.48 eV per atom

Record 16
Entry from Alexandria: a relaxed structure of K2AlOs (PBE-GGA).

The structure in extended XYZ format:
```
4
Lattice="3.452 0.000 0.000 0.000 3.452 0.000 0.000 0.000 10.138" Properties=species:S:1:pos:R:3 pbc="T T T"
K 0.000 0.000 0.000
K 1.726 1.726 4.225
Al 1.726 1.726 7.371
Os 0.000 0.000 6.880
```

Summary:
Calculated formation energy ... 0.407 eV/atom
Space-group type ... P4mm, No. 99

Record 17
Entry from Alexandria: a relaxed structure of Ac12Co6Hg (PBE-GGA).

The structure in extended XYZ format:
```
19
Lattice="-5.306 5.306 5.306 5.306 -5.306 5.306 5.306 5.306 -5.306" Properties=species:S:1:pos:R:3 pbc="T T T"
Ac 5.306 3.306 -1.996
Ac 3.310 0.000 2.000
Ac 7.302 0.000 2.000
Ac 2.000 3.310 0.000
Ac 3.306 -1.996 5.306
Ac 0.000 2.000 3.310
Ac 5.306 3.306 1.996
Ac 2.000 7.302 0.000
Ac 3.306 1.996 5.306
Ac -1.996 5.306 3.306
Ac 1.996 5.306 3.306
Ac 0.000 2.000 7.302
Co 5.306 1.152 0.000
Co 5.306 0.000 4.154
Co 4.154 5.306 0.000
Co 1.152 0.000 5.306
Co 0.000 5.306 1.152
Co 0.000 4.154 5.306
Hg 0.000 0.000 0.000
```

Summary:
Calculated formation energy ... -0.077 eV/atom
Space-group type ... Im-3, No. 204

Record 18
Entry from Alexandria: a relaxed structure of TeRh2Br (PBE-GGA).

The structure in extended XYZ format:
```
4
Lattice="-1.587 2.050 5.958 1.587 -2.050 5.958 1.587 2.050 -5.958" Properties=species:S:1:pos:R:3 pbc="T T T"
Te 0.000 0.000 0.000
Rh 1.587 0.000 2.321
Rh 0.000 0.000 4.827
Br 0.000 2.050 2.777
```

Summary:
Relative energy among the computed polymorphs ... 341 meV per atom
Space-group type ... Imm2, No. 44
Uncorrected formation energy ... 0.23 eV per atom

Record 19
Entry from Alexandria: a relaxed structure of Al2HgAs2 (PBE-GGA).

The structure in extended XYZ format:
```
5
Lattice="-2.238 2.238 5.472 2.238 -2.238 5.472 2.238 2.238 -5.472" Properties=species:S:1:pos:R:3 pbc="T T T"
Al 0.000 0.000 1.313
Al 0.000 0.000 9.631
Hg 0.000 0.000 5.472
As 2.238 0.000 2.736
As 0.000 2.238 2.736
```

Summary:
Relative energy among the computed polymorphs ... 234 meV per atom
Calculated formation energy ... 0.032 eV/atom
Space-group type ... I4/mmm, No. 139

Record 20
Entry from Alexandria: a relaxed structure of Tl12HgAs5 (PBE-GGA).

The structure in extended XYZ format:
```
18
Lattice="-5.122 5.131 5.139 5.122 -5.131 5.139 5.122 5.131 -5.139" Properties=species:S:1:pos:R:3 pbc="T T T"
Tl 5.122 -2.643 3.055
Tl 2.718 0.000 1.885
Tl 7.527 0.000 1.885
Tl 2.842 3.267 0.000
Tl 2.281 -1.865 5.139
Tl 0.000 2.488 2.084
Tl 5.122 2.643 3.055
Tl 2.842 6.996 0.000
Tl 2.281 1.865 5.139
Tl -2.404 5.131 3.254
Tl 2.404 5.131 3.254
Tl 0.000 7.774 2.084
Hg 0.000 5.131 0.000
As 0.000 0.000 0.000
As 5.122 1.205 0.000
As 0.000 0.000 3.893
As 0.000 0.000 6.386
As 0.000 3.926 5.139
```

Summary:
Calculated formation energy ... 0.026 eV/atom
Space-group type ... Immm, No. 71